LaNdY6Tm2: relaxed, PBE.

Cell lengths 9.3382, 15.0177, 9.4947 Å; angles 90.00, 95.44, 90.00 degrees
Closest atoms and distances in Å follow each position.
Space group C2/c (No. 15)
Unique sites:
La (0.0000, 0.0368, 0.2500) x4  4 Tm 3.38-3.54, 6 Y 3.54-3.72
Nd (0.0000, 0.4112, 0.7500) x4  6 Y 3.46-3.48, 2 Tm 3.54
Y (0.0640, 0.1776, 0.9421) x8  7 Y 3.43-3.82, 1 Tm 3.49, 2 La 3.70-3.72
Y (0.0923, 0.3862, 0.1113) x8  4 Y 3.25-3.52, 3 Tm 3.33-3.50, 2 Nd 3.46-3.48
Y (0.2173, 0.2279, 0.3213) x8  3 Y 3.25-3.62, 2 Tm 3.45-3.53, 1 Nd 3.48, 1 La 3.54
Tm (0.2492, 0.0511, 0.5543) x8  6 Y 3.33-3.53, 2 La 3.38-3.54, 1 Nd 3.54

Summary:
**E**: -5.622 eV/atom
**Size of the total moment**: 0.00 μB per formula unit
**Energy of formation from the pure elements**: 120 meV per atom